DFT (PBE-GGA) results for a relaxed TaZn2Sb crystal.

* total energy: -4.15 eV per atom

The structure in CIF format:
```
data_TaZn2Sb
_symmetry_space_group_name_H-M 'P 1'
_symmetry_Int_Tables_number 1
_cell_length_a 4.7149
_cell_length_b 4.7149
_cell_length_c 4.7149
_cell_angle_alpha 60.00
_cell_angle_beta 60.00
_cell_angle_gamma 60.00
loop_
_symmetry_equiv_pos_as_xyz
'x,y,z'
loop_
_atom_site_label
_atom_site_type_symbol
_atom_site_fract_x
_atom_site_fract_y
_atom_site_fract_z
Sb1 Sb 0.5000 0.5000 0.5000
Zn1 Zn 0.0000 0.0000 0.0000
Zn2 Zn 0.7500 0.7500 0.7500
Ta1 Ta 0.2500 0.2500 0.2500
```

---

DFT (PBE-GGA) results for a relaxed Tb2Sb5 crystal.

* total energy: -4.93 eV per atom

The structure in CIF format:
```
data_Tb2Sb5
_symmetry_space_group_name_H-M 'P 1'
_symmetry_Int_Tables_number 1
_cell_length_a 13.2580
_cell_length_b 4.2205
_cell_length_c 14.7455
_cell_angle_alpha 90.00
_cell_angle_beta 102.15
_cell_angle_gamma 90.00
loop_
_symmetry_equiv_pos_as_xyz
'x,y,z'
loop_
_atom_site_label
_atom_site_type_symbol
_atom_site_fract_x
_atom_site_fract_y
_atom_site_fract_z
Sb1 Sb 0.9706 0.7500 0.9067
Sb2 Sb 0.1390 0.2500 0.6776
Sb3 Sb 0.5744 0.2500 0.5512
Sb4 Sb 0.4248 0.7500 0.7342
Sb5 Sb 0.8480 0.2500 0.1726
Sb6 Sb 0.4256 0.7500 0.4488
Sb7 Sb 0.5752 0.2500 0.2658
Sb8 Sb 0.2850 0.2500 0.3473
Sb9 Sb 0.4198 0.7500 0.0246
Sb10 Sb 0.0294 0.2500 0.0933
Sb11 Sb 0.8610 0.7500 0.3224
Sb12 Sb 0.1416 0.7500 0.2206
Sb13 Sb 0.2787 0.2500 0.0616
Sb14 Sb 0.1436 0.7500 0.5185
Sb15 Sb 0.5802 0.2500 0.9754
Sb16 Sb 0.1520 0.7500 0.8274
Sb17 Sb 0.8584 0.2500 0.7794
Sb18 Sb 0.7213 0.7500 0.9384
Sb19 Sb 0.7150 0.7500 0.6527
Sb20 Sb 0.8564 0.2500 0.4815
Tb1 Tb 0.0473 0.2500 0.3612
Tb2 Tb 0.9527 0.7500 0.6388
Tb3 Tb 0.6620 0.7500 0.1449
Tb4 Tb 0.3380 0.2500 0.8551
Tb5 Tb 0.3311 0.2500 0.5773
Tb6 Tb 0.3927 0.7500 0.2293
Tb7 Tb 0.6073 0.2500 0.7707
Tb8 Tb 0.6689 0.7500 0.4227
```

---

DFT (PBE-GGA) results for a relaxed Tb2Sb crystal.

* total energy: -5.20 eV per atom

The structure in CIF format:
```
data_Tb2Sb
_symmetry_space_group_name_H-M 'P 1'
_symmetry_Int_Tables_number 1
_cell_length_a 6.7306
_cell_length_b 4.8379
_cell_length_c 10.2283
_cell_angle_alpha 90.00
_cell_angle_beta 90.00
_cell_angle_gamma 90.00
loop_
_symmetry_equiv_pos_as_xyz
'x,y,z'
loop_
_atom_site_label
_atom_site_type_symbol
_atom_site_fract_x
_atom_site_fract_y
_atom_site_fract_z
Tb1 Tb 0.6621 0.7500 0.5524
Tb2 Tb 0.1621 0.7500 0.9476
Tb3 Tb 0.9161 0.2500 0.7116
Tb4 Tb 0.5839 0.7500 0.2116
Tb5 Tb 0.4161 0.2500 0.7884
Tb6 Tb 0.3379 0.2500 0.4476
Tb7 Tb 0.8379 0.2500 0.0524
Tb8 Tb 0.0839 0.7500 0.2884
Sb1 Sb 0.8123 0.2500 0.3753
Sb2 Sb 0.6877 0.7500 0.8753
Sb3 Sb 0.3123 0.2500 0.1247
Sb4 Sb 0.1877 0.7500 0.6247
```

---

DFT (PBE-GGA) results for a relaxed TbSb crystal.

* total energy: -5.52 eV per atom

The structure in CIF format:
```
data_TbSb
_symmetry_space_group_name_H-M 'P 1'
_symmetry_Int_Tables_number 1
_cell_length_a 4.3974
_cell_length_b 4.3974
_cell_length_c 4.3974
_cell_angle_alpha 120.00
_cell_angle_beta 90.00
_cell_angle_gamma 120.00
loop_
_symmetry_equiv_pos_as_xyz
'x,y,z'
loop_
_atom_site_label
_atom_site_type_symbol
_atom_site_fract_x
_atom_site_fract_y
_atom_site_fract_z
Sb1 Sb 0.5000 0.0000 0.5000
Tb1 Tb 0.0000 0.0000 0.0000
```

---

DFT (PBE-GGA) results for a relaxed Tb2Sb crystal.

* total energy: -4.55 eV per atom

The structure in CIF format:
```
data_Tb2Sb
_symmetry_space_group_name_H-M 'P 1'
_symmetry_Int_Tables_number 1
_cell_length_a 6.2340
_cell_length_b 6.2340
_cell_length_c 6.2340
_cell_angle_alpha 60.00
_cell_angle_beta 60.00
_cell_angle_gamma 60.00
loop_
_symmetry_equiv_pos_as_xyz
'x,y,z'
loop_
_atom_site_label
_atom_site_type_symbol
_atom_site_fract_x
_atom_site_fract_y
_atom_site_fract_z
Sb1 Sb 0.0000 0.0000 0.0000
Sb2 Sb 0.2500 0.2500 0.2500
Tb1 Tb 0.6250 0.1250 0.6250
Tb2 Tb 0.6250 0.6250 0.6250
Tb3 Tb 0.6250 0.6250 0.1250
Tb4 Tb 0.1250 0.6250 0.6250
```

---

DFT (PBE-GGA) results for a relaxed TbSb2 crystal.

* total energy: -4.95 eV per atom

The structure in CIF format:
```
data_TbSb2
_symmetry_space_group_name_H-M 'P 1'
_symmetry_Int_Tables_number 1
_cell_length_a 5.8553
_cell_length_b 5.8553
_cell_length_c 8.1619
_cell_angle_alpha 105.83
_cell_angle_beta 105.83
_cell_angle_gamma 41.04
loop_
_symmetry_equiv_pos_as_xyz
'x,y,z'
loop_
_atom_site_label
_atom_site_type_symbol
_atom_site_fract_x
_atom_site_fract_y
_atom_site_fract_z
Sb1 Sb 0.1630 0.1630 0.5475
Sb2 Sb 0.5514 0.5514 0.8494
Sb3 Sb 0.4486 0.4486 0.1506
Sb4 Sb 0.8370 0.8370 0.4525
Tb1 Tb 0.8299 0.8299 0.8363
Tb2 Tb 0.1701 0.1701 0.1637
```

---

DFT (PBE-GGA) results for a relaxed TbSb crystal.

* total energy: -5.29 eV per atom

The structure in CIF format:
```
data_TbSb
_symmetry_space_group_name_H-M 'P 1'
_symmetry_Int_Tables_number 1
_cell_length_a 4.2507
_cell_length_b 4.2507
_cell_length_c 3.9400
_cell_angle_alpha 90.00
_cell_angle_beta 90.00
_cell_angle_gamma 120.00
loop_
_symmetry_equiv_pos_as_xyz
'x,y,z'
loop_
_atom_site_label
_atom_site_type_symbol
_atom_site_fract_x
_atom_site_fract_y
_atom_site_fract_z
Tb1 Tb 0.3333 0.6667 0.2500
Sb1 Sb 0.6667 0.3333 0.7500
```

---

DFT (PBE-GGA) results for a relaxed TbSb crystal.

* total energy: -5.13 eV per atom

The structure in CIF format:
```
data_TbSb
_symmetry_space_group_name_H-M 'P 1'
_symmetry_Int_Tables_number 1
_cell_length_a 6.4460
_cell_length_b 5.9881
_cell_length_c 5.9602
_cell_angle_alpha 90.00
_cell_angle_beta 90.00
_cell_angle_gamma 90.00
loop_
_symmetry_equiv_pos_as_xyz
'x,y,z'
loop_
_atom_site_label
_atom_site_type_symbol
_atom_site_fract_x
_atom_site_fract_y
_atom_site_fract_z
Tb1 Tb 0.2500 0.0000 0.8145
Tb2 Tb 0.7500 0.0000 0.1855
Tb3 Tb 0.5000 0.5000 0.5000
Tb4 Tb 0.0000 0.5000 0.5000
Sb1 Sb 0.2500 0.5000 0.9794
Sb2 Sb 0.2500 0.0000 0.3203
Sb3 Sb 0.7500 0.5000 0.0206
Sb4 Sb 0.7500 0.0000 0.6797
```

---

DFT (PBE-GGA) results for a relaxed TbSb crystal.

* total energy: -4.97 eV per atom

The structure in CIF format:
```
data_TbSb
_symmetry_space_group_name_H-M 'P 1'
_symmetry_Int_Tables_number 1
_cell_length_a 4.9289
_cell_length_b 4.9289
_cell_length_c 4.9289
_cell_angle_alpha 60.00
_cell_angle_beta 60.00
_cell_angle_gamma 60.00
loop_
_symmetry_equiv_pos_as_xyz
'x,y,z'
loop_
_atom_site_label
_atom_site_type_symbol
_atom_site_fract_x
_atom_site_fract_y
_atom_site_fract_z
Tb1 Tb 0.2500 0.2500 0.2500
Sb1 Sb 0.0000 0.0000 0.0000
```

---

DFT (PBE-GGA) results for a relaxed TbSb2 crystal.

* total energy: -5.04 eV per atom

The structure in CIF format:
```
data_TbSb2
_symmetry_space_group_name_H-M 'P 1'
_symmetry_Int_Tables_number 1
_cell_length_a 4.3399
_cell_length_b 4.3399
_cell_length_c 17.8656
_cell_angle_alpha 90.00
_cell_angle_beta 90.00
_cell_angle_gamma 88.64
loop_
_symmetry_equiv_pos_as_xyz
'x,y,z'
loop_
_atom_site_label
_atom_site_type_symbol
_atom_site_fract_x
_atom_site_fract_y
_atom_site_fract_z
Sb1 Sb 0.6245 0.8755 0.2500
Sb2 Sb 0.3594 0.6406 0.9351
Sb3 Sb 0.3755 0.1245 0.7500
Sb4 Sb 0.1245 0.3755 0.2500
Sb5 Sb 0.1406 0.8594 0.4351
Sb6 Sb 0.8755 0.6245 0.7500
Sb7 Sb 0.6406 0.3594 0.0649
Sb8 Sb 0.8594 0.1406 0.5649
Tb1 Tb 0.6442 0.3558 0.3899
Tb2 Tb 0.1442 0.8558 0.1101
Tb3 Tb 0.8558 0.1442 0.8899
Tb4 Tb 0.3558 0.6442 0.6101
```

---

DFT (PBE-GGA) results for a relaxed TbSb2 crystal.

* total energy: -4.44 eV per atom

The structure in CIF format:
```
data_TbSb2
_symmetry_space_group_name_H-M 'P 1'
_symmetry_Int_Tables_number 1
_cell_length_a 6.2528
_cell_length_b 6.2528
_cell_length_c 6.2528
_cell_angle_alpha 60.00
_cell_angle_beta 60.00
_cell_angle_gamma 60.00
loop_
_symmetry_equiv_pos_as_xyz
'x,y,z'
loop_
_atom_site_label
_atom_site_type_symbol
_atom_site_fract_x
_atom_site_fract_y
_atom_site_fract_z
Sb1 Sb 0.6250 0.6250 0.1250
Sb2 Sb 0.6250 0.6250 0.6250
Sb3 Sb 0.6250 0.1250 0.6250
Sb4 Sb 0.1250 0.6250 0.6250
Tb1 Tb 0.2500 0.2500 0.2500
Tb2 Tb 0.0000 0.0000 0.0000
```

---

DFT (PBE-GGA) results for a relaxed TbSb2 crystal.

* total energy: -3.65 eV per atom

The structure in CIF format:
```
data_TbSb2
_symmetry_space_group_name_H-M 'P 1'
_symmetry_Int_Tables_number 1
_cell_length_a 9.6416
_cell_length_b 9.6416
_cell_length_c 9.6416
_cell_angle_alpha 60.00
_cell_angle_beta 60.00
_cell_angle_gamma 60.00
loop_
_symmetry_equiv_pos_as_xyz
'x,y,z'
loop_
_atom_site_label
_atom_site_type_symbol
_atom_site_fract_x
_atom_site_fract_y
_atom_site_fract_z
Sb1 Sb 0.3750 0.3750 0.8750
Sb2 Sb 0.3750 0.8750 0.3750
Sb3 Sb 0.3750 0.3750 0.3750
Sb4 Sb 0.8750 0.3750 0.3750
Tb1 Tb 0.2500 0.2500 0.2500
Tb2 Tb 0.5000 0.5000 0.5000
```

---

DFT (PBE-GGA) results for a relaxed TbSb crystal.

* total energy: -5.39 eV per atom

The structure in CIF format:
```
data_TbSb
_symmetry_space_group_name_H-M 'P 1'
_symmetry_Int_Tables_number 1
_cell_length_a 7.7785
_cell_length_b 7.7785
_cell_length_c 6.8197
_cell_angle_alpha 90.00
_cell_angle_beta 90.00
_cell_angle_gamma 120.00
loop_
_symmetry_equiv_pos_as_xyz
'x,y,z'
loop_
_atom_site_label
_atom_site_type_symbol
_atom_site_fract_x
_atom_site_fract_y
_atom_site_fract_z
Sb1 Sb 0.3333 0.6667 0.2503
Sb2 Sb 0.6667 0.3333 0.2503
Sb3 Sb 0.6667 0.3333 0.7497
Sb4 Sb 0.3333 0.6667 0.7497
Sb5 Sb 0.0000 0.0000 0.7508
Sb6 Sb 0.0000 0.0000 0.2492
Tb1 Tb 0.0000 0.6660 0.0000
Tb2 Tb 0.6660 0.0000 0.0000
Tb3 Tb 0.6673 0.6673 0.5000
Tb4 Tb 0.3340 0.3340 0.0000
Tb5 Tb 0.0000 0.3327 0.5000
Tb6 Tb 0.3327 0.0000 0.5000
```

---

DFT (PBE-GGA) results for a relaxed TbSb crystal.

* total energy: -5.52 eV per atom

The structure in CIF format:
```
data_TbSb
_symmetry_space_group_name_H-M 'P 1'
_symmetry_Int_Tables_number 1
_cell_length_a 4.4006
_cell_length_b 4.4006
_cell_length_c 10.7744
_cell_angle_alpha 90.00
_cell_angle_beta 90.00
_cell_angle_gamma 120.00
loop_
_symmetry_equiv_pos_as_xyz
'x,y,z'
loop_
_atom_site_label
_atom_site_type_symbol
_atom_site_fract_x
_atom_site_fract_y
_atom_site_fract_z
Tb1 Tb 0.0000 0.0000 0.5000
Tb2 Tb 0.3333 0.6667 0.8335
Tb3 Tb 0.6667 0.3333 0.1665
Sb1 Sb 0.0000 0.0000 0.0000
Sb2 Sb 0.6667 0.3333 0.6668
Sb3 Sb 0.3333 0.6667 0.3332
```

---

DFT (PBE-GGA) results for a relaxed Tb2Sb crystal.

* total energy: -3.42 eV per atom

The structure in CIF format:
```
data_Tb2Sb
_symmetry_space_group_name_H-M 'P 1'
_symmetry_Int_Tables_number 1
_cell_length_a 9.5700
_cell_length_b 9.5700
_cell_length_c 9.5700
_cell_angle_alpha 60.00
_cell_angle_beta 60.00
_cell_angle_gamma 60.00
loop_
_symmetry_equiv_pos_as_xyz
'x,y,z'
loop_
_atom_site_label
_atom_site_type_symbol
_atom_site_fract_x
_atom_site_fract_y
_atom_site_fract_z
Sb1 Sb 0.2500 0.2500 0.2500
Sb2 Sb 0.5000 0.5000 0.5000
Tb1 Tb 0.3750 0.3750 0.3750
Tb2 Tb 0.3750 0.3750 0.8750
Tb3 Tb 0.8750 0.3750 0.3750
Tb4 Tb 0.3750 0.8750 0.3750
```

---

DFT (PBE-GGA) results for a relaxed TbTcSb crystal.

* total energy: -6.28 eV per atom

The structure in CIF format:
```
data_TbTcSb
_symmetry_space_group_name_H-M 'P 1'
_symmetry_Int_Tables_number 1
_cell_length_a 4.7263
_cell_length_b 4.7263
_cell_length_c 4.7263
_cell_angle_alpha 60.00
_cell_angle_beta 60.00
_cell_angle_gamma 60.00
loop_
_symmetry_equiv_pos_as_xyz
'x,y,z'
loop_
_atom_site_label
_atom_site_type_symbol
_atom_site_fract_x
_atom_site_fract_y
_atom_site_fract_z
Tb1 Tb 0.2500 0.2500 0.2500
Tc1 Tc 0.7500 0.7500 0.7500
Sb1 Sb 0.0000 0.0000 0.0000
```

---

DFT (PBE-GGA) results for a relaxed Tb6TcSb2 crystal.

* total energy: -5.76 eV per atom

The structure in CIF format:
```
data_Tb6TcSb2
_symmetry_space_group_name_H-M 'P 1'
_symmetry_Int_Tables_number 1
_cell_length_a 8.2331
_cell_length_b 8.2331
_cell_length_c 4.2513
_cell_angle_alpha 90.00
_cell_angle_beta 90.00
_cell_angle_gamma 120.00
loop_
_symmetry_equiv_pos_as_xyz
'x,y,z'
loop_
_atom_site_label
_atom_site_type_symbol
_atom_site_fract_x
_atom_site_fract_y
_atom_site_fract_z
Tb1 Tb 0.6002 0.0000 0.0000
Tb2 Tb 0.0000 0.6002 0.0000
Tb3 Tb 0.2367 0.0000 0.5000
Tb4 Tb 0.0000 0.2367 0.5000
Tb5 Tb 0.3998 0.3998 0.0000
Tb6 Tb 0.7633 0.7633 0.5000
Tc1 Tc 0.0000 0.0000 0.0000
Sb1 Sb 0.6667 0.3333 0.5000
Sb2 Sb 0.3333 0.6667 0.5000
```

---

DFT (PBE-GGA) results for a relaxed Tb3SbTe2 crystal.

* total energy: -5.34 eV per atom

The structure in CIF format:
```
data_Tb3SbTe2
_symmetry_space_group_name_H-M 'P 1'
_symmetry_Int_Tables_number 1
_cell_length_a 7.6062
_cell_length_b 7.6062
_cell_length_c 7.6062
_cell_angle_alpha 146.62
_cell_angle_beta 132.05
_cell_angle_gamma 59.68
loop_
_symmetry_equiv_pos_as_xyz
'x,y,z'
loop_
_atom_site_label
_atom_site_type_symbol
_atom_site_fract_x
_atom_site_fract_y
_atom_site_fract_z
Tb1 Tb 0.0000 0.5000 0.5000
Tb2 Tb 0.3400 0.8400 0.5000
Tb3 Tb 0.6600 0.1600 0.5000
Sb1 Sb 0.5000 0.5000 0.0000
Te1 Te 0.1687 0.1687 0.0000
Te2 Te 0.8313 0.8313 0.0000
```

---

DFT (PBE-GGA) results for a relaxed TbTlSbTe3 crystal.

* total energy: -3.98 eV per atom

The structure in CIF format:
```
data_TbTlSbTe3
_symmetry_space_group_name_H-M 'P 1'
_symmetry_Int_Tables_number 1
_cell_length_a 8.0208
_cell_length_b 8.0208
_cell_length_c 12.5739
_cell_angle_alpha 90.00
_cell_angle_beta 90.00
_cell_angle_gamma 149.40
loop_
_symmetry_equiv_pos_as_xyz
'x,y,z'
loop_
_atom_site_label
_atom_site_type_symbol
_atom_site_fract_x
_atom_site_fract_y
_atom_site_fract_z
Tb1 Tb 0.5000 0.5000 0.5000
Tb2 Tb 0.5000 0.5000 0.0000
Te1 Te 0.1424 0.8576 0.0119
Te2 Te 0.8576 0.1424 0.9881
Te3 Te 0.8576 0.1424 0.5119
Te4 Te 0.4662 0.5338 0.2500
Te5 Te 0.5338 0.4662 0.7500
Te6 Te 0.1424 0.8576 0.4881
Sb1 Sb 0.1158 0.8842 0.2500
Sb2 Sb 0.8842 0.1158 0.7500
Tl1 Tl 0.2084 0.7916 0.7500
Tl2 Tl 0.7916 0.2084 0.2500
```

---

DFT (PBE-GGA) results for a relaxed TbThSb crystal.

* total energy: -5.71 eV per atom

The structure in CIF format:
```
data_TbThSb
_symmetry_space_group_name_H-M 'P 1'
_symmetry_Int_Tables_number 1
_cell_length_a 5.1851
_cell_length_b 5.1851
_cell_length_c 5.1851
_cell_angle_alpha 60.00
_cell_angle_beta 60.00
_cell_angle_gamma 60.00
loop_
_symmetry_equiv_pos_as_xyz
'x,y,z'
loop_
_atom_site_label
_atom_site_type_symbol
_atom_site_fract_x
_atom_site_fract_y
_atom_site_fract_z
Tb1 Tb 0.2500 0.2500 0.2500
Sb1 Sb 0.0000 0.0000 0.0000
Th1 Th 0.7500 0.7500 0.7500
```

---

Number 1: size of the total moment 0.038 μB/cell. Number 2: size of the total moment 0.003 μB/cell. Number 3: size of the total moment 0.010 μB/cell. Number 4: size of the total moment 0.000 μB/cell. Number 5: size of the total moment 0.006 μB/cell. Number 6: size of the total moment 0.024 μB/cell. Number 7: size of the total moment 0.000 μB/cell. Number 8: size of the total moment 0.007 μB/cell. Number 9: size of the total moment 0.001 μB/cell. Number 10: size of the total moment 0.000 μB/cell. Number 11: size of the total moment 0.026 μB/cell. Number 12: size of the total moment 0.023 μB/cell. Number 13: size of the total moment 0.003 μB/cell. Number 14: size of the total moment 0.002 μB/cell. Number 15: size of the total moment 3.987 μB/cell. Number 16: size of the total moment 1.535 μB/cell. Number 17: size of the total moment 0.036 μB/cell. Number 18: size of the total moment 0.004 μB/cell. Number 19: size of the total moment 0.008 μB/cell. Number 20: size of the total moment 0.026 μB/cell.